Record 1
A relaxed GaSbSeBr2 crystal, computed with PBE-GGA.

```
data_GaSbSeBr2
_chemical_formula_sum 'Ga1 Sb1 Se1 Br2'
_cell_length_a 5.6755
_cell_length_b 5.6755
_cell_length_c 5.3810
_cell_angle_alpha 90.00
_cell_angle_beta 90.00
_cell_angle_gamma 90.00
_space_group_name_H-M_alt 'P 4/m m m'
_space_group_IT_number 123
_space_group_name_Hall '-P 4 2'
loop_
_atom_site_label
_atom_site_type_symbol
_atom_site_fract_x
_atom_site_fract_y
_atom_site_fract_z
Ga1 Ga 0.0000 0.0000 0.0000
Sb1 Sb 0.5000 0.5000 0.5000
Se1 Se 0.5000 0.5000 0.0000
Br1 Br 0.0000 0.5000 0.5000
```

**Crystal system**: tetragonal
**Formation energy without anion corrections**: -4.42 kcal/mol of atoms
**DFT total energy**: -14.939 eV per formula unit

Record 2
A relaxed Pm2YPaAs4 crystal, computed with PBE-GGA.

```
data_Pm2YPaAs4
_chemical_formula_sum 'Pm2 Y1 Pa1 As4'
_cell_length_a 7.1950
_cell_length_b 4.1725
_cell_length_c 7.2329
_cell_angle_alpha 90.00
_cell_angle_beta 109.43
_cell_angle_gamma 90.00
_space_group_name_H-M_alt 'P 1 2/m 1'
_space_group_IT_number 10
loop_
_space_group_symop_operation_xyz
'x,y,z'
'-x,-y,-z'
'-x,y,-z'
'x,-y,z'
loop_
_atom_site_label
_atom_site_type_symbol
_atom_site_fract_x
_atom_site_fract_y
_atom_site_fract_z
Pm1 Pm 0.0000 0.0000 0.0000
Pm2 Pm 0.5000 0.5000 0.0000
Y1 Y 0.0000 0.5000 0.5000
Pa1 Pa 0.5000 0.0000 0.5000
As1 As 0.2509 0.0000 0.7396
As2 As 0.2560 0.5000 0.2608
```

**Crystal system**: monoclinic
**DFT total energy**: -55.462 eV per formula unit
**ΔE_f**: -1.425 eV per atom

Number 1: N(E_F) 1.30 states/eV/f.u.. Number 2: N(E_F) 5.27 states/eV/f.u..